# Tl2TcAuCl | the Alexandria database | PBE-GGA | optimized geometry
# - volume (Å³/cell) = 145
# - space group = No. 123
# - ΔE_f (raw) (meV/atom) = 419.3
# - energy relative to the lowest polymorph listed for this composition (eV per atom) = 0.064
# - total energy (eV/atom) = -3.63
data_Tl2TcAuCl
_cell_length_a 5.454
_cell_length_b 5.454
_cell_length_c 4.887
_cell_angle_alpha 90.00
_cell_angle_beta 90.00
_cell_angle_gamma 90.00
_space_group_name_H-M_alt 'P 1'
_space_group_IT_number 1
_space_group_name_Hall 'P 1'
loop_
_atom_site_label
_atom_site_fract_x
_atom_site_fract_y
_atom_site_fract_z
Au1 0.000 0.000 0.500
Tc1 0.000 0.000 0.000
Tl1 0.500 0.000 0.000
Tl2 0.000 0.500 0.000
Cl1 0.500 0.500 0.500